(1)
# HfRe2Ir2 (PBE-GGA, relaxed)
# energy of formation from the pure elements = -0.19 eV/atom
# uncorrected energy = -107.0 eV for the cell shown
# spin magnetization = 0.00 μB/f.u.
# crystal system = tetragonal
# offset from the most stable computed form = 12.1 meV per atom
# Fermi-level density of states = 8.43 states/eV/cell
data_HfRe2Ir2
_space_group_name_H-M_alt 'P 4/m b m'
_space_group_IT_number 127
_space_group_name_Hall '-P 4 2ab'
_cell_length_a 7.674
_cell_length_b 7.674
_cell_length_c 2.764
_cell_angle_alpha 90.00
_cell_angle_beta 90.00
_cell_angle_gamma 90.00
loop_
_atom_site_label
_atom_site_type_symbol
_atom_site_fract_x
_atom_site_fract_y
_atom_site_fract_z
_atom_site_occupancy
Hf1 Hf 0.000 0.000 0.000 1
Re1 Re 0.174 0.326 0.500 1
Ir1 Ir 0.123 0.623 0.000 1

---

(2)
# ZrPaMo (PBE-GGA, relaxed)
# energy of formation from the pure elements = 0.00 eV/atom
# uncorrected energy = -57.8 eV for the cell shown
# spin magnetization = 0.00 μB/f.u.
# crystal system = tetragonal
# offset from the most stable computed form = 0.0 meV per atom
# Fermi-level density of states = 6.77 states/eV/cell
data_ZrPaMo
_space_group_name_H-M_alt 'I 4 m m'
_space_group_IT_number 107
_space_group_name_Hall 'I 4 -2'
_cell_length_a 3.449
_cell_length_b 3.449
_cell_length_c 10.608
_cell_angle_alpha 90.00
_cell_angle_beta 90.00
_cell_angle_gamma 90.00
loop_
_atom_site_label
_atom_site_type_symbol
_atom_site_fract_x
_atom_site_fract_y
_atom_site_fract_z
_atom_site_occupancy
Zr1 Zr 0.000 0.000 0.000 1
Pa1 Pa 0.000 0.000 0.691 1
Mo1 Mo 0.000 0.000 0.328 1

---

(3)
# Ac2Ag5Rh (PBE-GGA, relaxed)
# energy of formation from the pure elements = -0.22 eV/atom
# uncorrected energy = -126.5 eV for the cell shown
# spin magnetization = 0.00 μB/f.u.
# crystal system = orthorhombic
# Fermi-level density of states = 16.29 states/eV/cell
data_Ac2Ag5Rh
_space_group_name_H-M_alt 'C m c m'
_space_group_IT_number 63
_space_group_name_Hall '-C 2c 2'
_cell_length_a 4.492
_cell_length_b 17.159
_cell_length_c 10.116
_cell_angle_alpha 90.00
_cell_angle_beta 90.00
_cell_angle_gamma 90.00
loop_
_atom_site_label
_atom_site_type_symbol
_atom_site_fract_x
_atom_site_fract_y
_atom_site_fract_z
_atom_site_occupancy
Ac1 Ac 0.000 0.000 0.000 1
Ac2 Ac 0.000 0.185 0.250 1
Ag1 Ag 0.000 0.191 0.614 1
Ag2 Ag 0.000 0.354 0.520 1
Ag3 Ag 0.000 0.400 0.250 1
Rh1 Rh 0.000 0.439 0.750 1

---

(4)
# Tb6HoTm (PBE-GGA, relaxed)
# energy of formation from the pure elements = 0.02 eV/atom
# uncorrected energy = -36.7 eV for the cell shown
# spin magnetization = 0.00 μB/f.u.
# crystal system = tetragonal
# offset from the most stable computed form = 0.0 meV per atom
# Fermi-level density of states = 11.89 states/eV/cell
data_Tb6HoTm
_space_group_name_H-M_alt 'P 4/m m m'
_space_group_IT_number 123
_space_group_name_Hall '-P 4 2'
_cell_length_a 5.007
_cell_length_b 5.007
_cell_length_c 10.012
_cell_angle_alpha 90.00
_cell_angle_beta 90.00
_cell_angle_gamma 90.00
loop_
_atom_site_label
_atom_site_type_symbol
_atom_site_fract_x
_atom_site_fract_y
_atom_site_fract_z
_atom_site_occupancy
Tb1 Tb 0.000 0.000 0.000 1
Tb2 Tb 0.000 0.000 0.500 1
Tb3 Tb 0.000 0.500 0.249 1
Ho1 Ho 0.500 0.500 0.500 1
Tm1 Tm 0.500 0.500 0.000 1

---

(5)
# AcTmMgBi (PBE-GGA, relaxed)
# energy of formation from the pure elements = -0.27 eV/atom
# uncorrected energy = -60.6 eV for the cell shown
# spin magnetization = 0.00 μB/f.u.
# crystal system = cubic
# Fermi-level density of states = 18.54 states/eV/cell
data_AcTmMgBi
_space_group_name_H-M_alt 'F -4 3 m'
_space_group_IT_number 216
_space_group_name_Hall 'F -4 2 3'
_cell_length_a 7.987
_cell_length_b 7.987
_cell_length_c 7.987
_cell_angle_alpha 90.00
_cell_angle_beta 90.00
_cell_angle_gamma 90.00
loop_
_atom_site_label
_atom_site_type_symbol
_atom_site_fract_x
_atom_site_fract_y
_atom_site_fract_z
_atom_site_occupancy
Ac1 Ac 0.000 0.000 0.000 1
Tm1 Tm 0.000 0.000 0.500 1
Mg1 Mg 0.250 0.250 0.250 1
Bi1 Bi 0.250 0.250 0.750 1

---

(6)
# MnCu2Ir (PBE-GGA, relaxed)
# energy of formation from the pure elements = 0.02 eV/atom
# uncorrected energy = -52.3 eV for the cell shown
# spin magnetization = 3.64 μB/f.u.
# crystal system = tetragonal
# Fermi-level density of states = 6.46 states/eV/cell
data_MnCu2Ir
_space_group_name_H-M_alt 'I -4 m 2'
_space_group_IT_number 119
_space_group_name_Hall 'I -4 -2'
_cell_length_a 3.783
_cell_length_b 3.783
_cell_length_c 7.284
_cell_angle_alpha 90.00
_cell_angle_beta 90.00
_cell_angle_gamma 90.00
loop_
_atom_site_label
_atom_site_type_symbol
_atom_site_fract_x
_atom_site_fract_y
_atom_site_fract_z
_atom_site_occupancy
Mn1 Mn 0.000 0.000 0.000 1
Cu1 Cu 0.000 0.000 0.500 1
Cu2 Cu 0.000 0.500 0.750 1
Ir1 Ir 0.000 0.500 0.250 1

---

(7)
# Ni4Sb2Se (PBE-GGA, relaxed)
# uncorrected energy = -65.4 eV for the cell shown
# spin magnetization = 0.00 μB/f.u.
# crystal system = tetragonal
# Fermi-level density of states = 12.19 states/eV/cell
data_Ni4Sb2Se
_space_group_name_H-M_alt 'I 4/m m m'
_space_group_IT_number 139
_space_group_name_Hall '-I 4 2'
_cell_length_a 4.393
_cell_length_b 4.393
_cell_length_c 13.317
_cell_angle_alpha 90.00
_cell_angle_beta 90.00
_cell_angle_gamma 90.00
loop_
_atom_site_label
_atom_site_type_symbol
_atom_site_fract_x
_atom_site_fract_y
_atom_site_fract_z
_atom_site_occupancy
Ni1 Ni 0.000 0.000 0.168 1
Ni2 Ni 0.000 0.500 0.000 1
Sb1 Sb 0.000 0.000 0.353 1
Se1 Se 0.000 0.000 0.000 1

---

(8)
# LaZrCr (PBE-GGA, relaxed)
# energy of formation from the pure elements = 0.48 eV/atom
# uncorrected energy = -21.7 eV for the cell shown
# spin magnetization = 2.49 μB/f.u.
# crystal system = trigonal
# offset from the most stable computed form = 89.5 meV per atom
# Fermi-level density of states = 3.31 states/eV/cell
data_LaZrCr
_space_group_name_H-M_alt 'P 3 m 1'
_space_group_IT_number 156
_cell_length_a 4.9883
_cell_length_b 4.9883
_cell_length_c 3.4251
_cell_angle_alpha 90.00
_cell_angle_beta 90.00
_cell_angle_gamma 120.00
loop_
_space_group_symop_operation_xyz
'x,y,z'
'-y,x-y,z'
'-x+y,-x,z'
'-y,-x,z'
'-x+y,y,z'
'x,x-y,z'
loop_
_atom_site_label
_atom_site_type_symbol
_atom_site_fract_x
_atom_site_fract_y
_atom_site_fract_z
_atom_site_occupancy
La1 La 0.0000 0.0000 0.0000 1
Zr1 Zr 0.6667 0.3333 0.4655 1
Cr1 Cr 0.3333 0.6667 0.5629 1

---

(9)
# CdAgIr2 (PBE-GGA, relaxed)
# energy of formation from the pure elements = 0.37 eV/atom
# uncorrected energy = -40.0 eV for the cell shown
# spin magnetization = 0.00 μB/f.u.
# crystal system = orthorhombic
# Fermi-level density of states = 10.87 states/eV/cell
data_CdAgIr2
_space_group_name_H-M_alt 'C m m m'
_space_group_IT_number 65
_space_group_name_Hall '-C 2 2'
_cell_length_a 2.880
_cell_length_b 4.762
_cell_length_c 9.634
_cell_angle_alpha 90.00
_cell_angle_beta 90.00
_cell_angle_gamma 90.00
loop_
_atom_site_label
_atom_site_type_symbol
_atom_site_fract_x
_atom_site_fract_y
_atom_site_fract_z
_atom_site_occupancy
Cd1 Cd 0.000 0.000 0.000 1
Ag1 Ag 0.000 0.000 0.500 1
Ir1 Ir 0.000 0.500 0.249 1

---

(10)
# EuBOs (PBE-GGA, relaxed)
# energy of formation from the pure elements = 0.04 eV/atom
# uncorrected energy = -56.1 eV for the cell shown
# spin magnetization = 7.16 μB/f.u.
# crystal system = tetragonal
# offset from the most stable computed form = 167.2 meV per atom
# Fermi-level density of states = 3.01 states/eV/cell
data_EuBOs
_space_group_name_H-M_alt 'I 4 m m'
_space_group_IT_number 107
_space_group_name_Hall 'I 4 -2'
_cell_length_a 3.009
_cell_length_b 3.009
_cell_length_c 10.734
_cell_angle_alpha 90.00
_cell_angle_beta 90.00
_cell_angle_gamma 90.00
loop_
_atom_site_label
_atom_site_type_symbol
_atom_site_fract_x
_atom_site_fract_y
_atom_site_fract_z
_atom_site_occupancy
Eu1 Eu 0.000 0.000 0.000 1
B1 B 0.000 0.000 0.727 1
Os1 Os 0.000 0.000 0.274 1

---

(11)
# K2Cu2SnI6 (PBE-GGA, relaxed)
# uncorrected energy = -62.3 eV for the cell shown
# spin magnetization = 0.00 μB/f.u.
# crystal system = monoclinic
data_K2Cu2SnI6
_space_group_name_H-M_alt 'C 1 2/m 1'
_space_group_IT_number 12
_cell_length_a 14.384
_cell_length_b 8.504
_cell_length_c 8.502
_cell_angle_alpha 90.00
_cell_angle_beta 120.88
_cell_angle_gamma 90.00
loop_
_space_group_symop_operation_xyz
'x,y,z'
'-x,-y,-z'
'-x,y,-z'
'x,-y,z'
'x+1/2,y+1/2,z'
'-x+1/2,-y+1/2,-z'
'-x+1/2,y+1/2,-z'
'x+1/2,-y+1/2,z'
loop_
_atom_site_label
_atom_site_type_symbol
_atom_site_fract_x
_atom_site_fract_y
_atom_site_fract_z
_atom_site_occupancy
K1 K 0.238 0.000 0.207 1
Cu1 Cu 0.040 0.500 0.186 1
Sn1 Sn 0.000 0.000 0.500 1
I1 I 0.062 0.252 0.820 1
I2 I 0.249 0.500 0.369 1

---

(12)
# PaP2Rh5 (PBE-GGA, relaxed)
# energy of formation from the pure elements = -0.83 eV/atom
# uncorrected energy = -127.4 eV for the cell shown
# spin magnetization = 0.00 μB/f.u.
# crystal system = orthorhombic
# Fermi-level density of states = 7.75 states/eV/cell
data_PaP2Rh5
_space_group_name_H-M_alt 'I m m m'
_space_group_IT_number 71
_space_group_name_Hall '-I 2 2'
_cell_length_a 3.895
_cell_length_b 6.752
_cell_length_c 9.411
_cell_angle_alpha 90.00
_cell_angle_beta 90.00
_cell_angle_gamma 90.00
loop_
_atom_site_label
_atom_site_type_symbol
_atom_site_fract_x
_atom_site_fract_y
_atom_site_fract_z
_atom_site_occupancy
Pa1 Pa 0.000 0.000 0.000 1
P1 P 0.000 0.500 0.243 1
Rh1 Rh 0.000 0.206 0.355 1
Rh2 Rh 0.000 0.500 0.000 1

---

(13)
# Ba4Si3 (PBE-GGA, relaxed)
# uncorrected energy = -23.0 eV for the cell shown
# spin magnetization = 0.00 μB/f.u.
# crystal system = hexagonal
# Fermi-level density of states = 4.37 states/eV/cell
data_Ba4Si3
_space_group_name_H-M_alt 'P 6/m m m'
_space_group_IT_number 191
_space_group_name_Hall '-P 6 2'
_cell_length_a 6.0969
_cell_length_b 6.0969
_cell_length_c 6.8972
_cell_angle_alpha 90.00
_cell_angle_beta 90.00
_cell_angle_gamma 120.00
loop_
_atom_site_label
_atom_site_type_symbol
_atom_site_fract_x
_atom_site_fract_y
_atom_site_fract_z
_atom_site_occupancy
Ba1 Ba 0.0000 0.0000 0.2281 1
Ba2 Ba 0.3333 0.6667 0.5000 1
Si1 Si 0.0000 0.5000 0.0000 1

---

(14)
# Tm6BiSb3Pb2 (PBE-GGA, relaxed)
# uncorrected energy = -119.0 eV for the cell shown
# spin magnetization = 0.00 μB/f.u.
# crystal system = monoclinic
# Fermi-level density of states = 10.49 states/eV/cell
data_Tm6BiSb3Pb2
_space_group_name_H-M_alt 'C 1 2/m 1'
_space_group_IT_number 12
_cell_length_a 19.375
_cell_length_b 4.281
_cell_length_c 8.945
_cell_angle_alpha 90.00
_cell_angle_beta 106.92
_cell_angle_gamma 90.00
loop_
_space_group_symop_operation_xyz
'x,y,z'
'-x,-y,-z'
'-x,y,-z'
'x,-y,z'
'x+1/2,y+1/2,z'
'-x+1/2,-y+1/2,-z'
'-x+1/2,y+1/2,-z'
'x+1/2,-y+1/2,z'
loop_
_atom_site_label
_atom_site_type_symbol
_atom_site_fract_x
_atom_site_fract_y
_atom_site_fract_z
_atom_site_occupancy
Tm1 Tm 0.000 0.000 0.245 1
Tm2 Tm 0.163 0.500 0.097 1
Tm3 Tm 0.170 0.500 0.585 1
Bi1 Bi 0.000 0.500 0.500 1
Sb1 Sb 0.000 0.500 0.000 1
Sb2 Sb 0.165 0.000 0.340 1
Pb1 Pb 0.170 0.000 0.844 1

---

(15)
# BeTcPt2 (PBE-GGA, relaxed)
# energy of formation from the pure elements = -0.19 eV/atom
# uncorrected energy = -53.9 eV for the cell shown
# spin magnetization = 0.00 μB/f.u.
# crystal system = orthorhombic
# Fermi-level density of states = 5.29 states/eV/cell
data_BeTcPt2
_space_group_name_H-M_alt 'C m m m'
_space_group_IT_number 65
_space_group_name_Hall '-C 2 2'
_cell_length_a 5.406
_cell_length_b 7.576
_cell_length_c 2.729
_cell_angle_alpha 90.00
_cell_angle_beta 90.00
_cell_angle_gamma 90.00
loop_
_atom_site_label
_atom_site_type_symbol
_atom_site_fract_x
_atom_site_fract_y
_atom_site_fract_z
_atom_site_occupancy
Be1 Be 0.000 0.000 0.000 1
Tc1 Tc 0.000 0.500 0.000 1
Pt1 Pt 0.250 0.250 0.500 1

---

(16)
# Ba2YC2O6F3 (PBE-GGA, relaxed)
# uncorrected energy = -413.7 eV for the cell shown
# spin magnetization = 0.00 μB/f.u.
# crystal system = orthorhombic
# Fermi-level density of states = 0.00 states/eV/cell
data_Ba2YC2O6F3
_space_group_name_H-M_alt 'P b c n'
_space_group_IT_number 60
_cell_length_a 9.596
_cell_length_b 7.084
_cell_length_c 11.906
_cell_angle_alpha 90.00
_cell_angle_beta 90.00
_cell_angle_gamma 90.00
loop_
_space_group_symop_operation_xyz
'x,y,z'
'-x,-y,-z'
'-x+1/2,-y+1/2,z+1/2'
'x+1/2,y+1/2,-z+1/2'
'x+1/2,-y+1/2,-z'
'-x+1/2,y+1/2,z'
'-x,y,-z+1/2'
'x,-y,z+1/2'
loop_
_atom_site_label
_atom_site_type_symbol
_atom_site_fract_x
_atom_site_fract_y
_atom_site_fract_z
_atom_site_occupancy
Ba1 Ba 0.120 0.238 0.071 1
Y1 Y 0.000 0.228 0.750 1
C1 C 0.194 0.480 0.320 1
O1 O 0.091 0.478 0.887 1
O2 O 0.185 0.457 0.717 1
O3 O 0.203 0.120 0.854 1
F1 F 0.000 0.099 0.250 1
F2 F 0.094 0.150 0.578 1

---

(17)
# Zr2AlSi (PBE-GGA, relaxed)
# uncorrected energy = -57.3 eV for the cell shown
# spin magnetization = 0.00 μB/f.u.
# crystal system = triclinic
# offset from the most stable computed form = 137.3 meV per atom
# Fermi-level density of states = 5.54 states/eV/cell
data_Zr2AlSi
_space_group_name_H-M_alt 'P -1'
_space_group_IT_number 2
_cell_length_a 5.338
_cell_length_b 5.498
_cell_length_c 5.508
_cell_angle_alpha 75.85
_cell_angle_beta 75.18
_cell_angle_gamma 82.31
loop_
_space_group_symop_operation_xyz
'x,y,z'
'-x,-y,-z'
loop_
_atom_site_label
_atom_site_type_symbol
_atom_site_fract_x
_atom_site_fract_y
_atom_site_fract_z
_atom_site_occupancy
Zr1 Zr 0.168 0.217 0.028 1
Zr2 Zr 0.261 0.635 0.392 1
Al1 Al 0.244 0.109 0.540 1
Si1 Si 0.365 0.701 0.861 1